This record from Alexandria via LeMat-Bulk describes an optimized crystal structure of Bi2MoWO. The functional is PBE with a Hubbard U.

V: 29.46 Å³/atom
DOS at the Fermi energy: 3.34 states/eV/cell
energy: -3.736 eV/atom

Lattice parameters (Å, degrees): 5.2944 5.2550 5.2944 90.00 90.00 90.00
Closest atoms and distances in Å follow each position.
Fractional positions:
O 0.5000 0.5000 0.5000  8 Bi 3.73, 4 W 3.74
Mo 0.0000 0.0000 0.0000  2 W 2.63, 4 Bi 2.65
Bi 0.0000 0.0000 0.5000  2 Mo 2.65
Bi 0.5000 0.0000 0.0000  2 Mo 2.65
W 0.0000 0.5000 0.0000  2 Mo 2.63